Here is a relaxed structure of MgSnN2 from Alexandria. Energies are from GGA-PBE.

For the uncorrected formation energy, the calculation gives 0.204 eV/atom. The calculation puts the total DFT energy (no corrections) at -5.3582 eV per atom. For the magnetization, the calculation gives 0.0000 μB per atom. As for the crystal system: trigonal.

Lattice parameters (Å, degrees): 3.3738 3.3738 18.2773 90.00 90.00 120.00
Space group R-3m (No. 166, hexagonal axes)
Unique sites:
Mg1 0.0000 0.0000 0.0000 (multiplicity 3)
Sn1 0.0000 0.0000 0.5000 (multiplicity 3)
N1 0.0000 0.0000 0.1064 (multiplicity 6)

Here is a relaxed structure of MgSn2N3 from Alexandria. Energies are from GGA-PBE.

For the uncorrected formation energy, the calculation gives -0.045 eV/atom. The calculation puts the total DFT energy (no corrections) at -5.8079 eV per atom. For the magnetization, the calculation gives 0.0000 μB per atom. As for the crystal system: monoclinic.

Lattice parameters (Å, degrees): 6.044 10.519 6.160 90.00 109.23 90.00
Space group Cc (No. 9)
Unique sites:
Mg1 0.000 0.080 0.000 (multiplicity 4)
Sn1 0.494 0.083 0.498 (multiplicity 4)
Sn2 0.497 0.255 0.996 (multiplicity 4)
N1 0.119 0.248 0.869 (multiplicity 4)
N2 0.120 0.415 0.373 (multiplicity 4)
N3 0.123 0.082 0.368 (multiplicity 4)

Here is a relaxed structure of MgSn2N2 from Alexandria. Energies are from GGA-PBE.

For the uncorrected formation energy, the calculation gives 0.531 eV/atom. The calculation puts the total DFT energy (no corrections) at -4.7195 eV per atom. For the magnetization, the calculation gives 0.0000 μB per atom. As for the crystal system: tetragonal.

Lattice parameters (Å, degrees): 4.170 4.170 9.736 90.00 90.00 90.00
Space group I4/mmm (No. 139)
Unique sites:
Mg1 0.000 0.000 0.000 (multiplicity 2)
Sn1 0.000 0.000 0.340 (multiplicity 4)
N1 0.000 0.500 0.250 (multiplicity 4)

Here is a relaxed structure of MgSn2N2 from Alexandria. Energies are from GGA-PBE.

For the uncorrected formation energy, the calculation gives 0.441 eV/atom. The calculation puts the total DFT energy (no corrections) at -4.8087 eV per atom. For the magnetization, the calculation gives 0.0000 μB per atom. As for the crystal system: tetragonal.

Lattice parameters (Å, degrees): 8.144 8.144 3.412 90.00 90.00 90.00
Space group P4/mbm (No. 127)
Unique sites:
Mg1 0.000 0.000 0.000 (multiplicity 2)
Sn1 0.183 0.317 0.000 (multiplicity 4)
N1 0.055 0.445 0.500 (multiplicity 4)

Here is a relaxed structure of MgSnN2 from Alexandria. Energies are from GGA-PBE.

For the uncorrected formation energy, the calculation gives -0.318 eV/atom. The calculation puts the total DFT energy (no corrections) at -5.8800 eV per atom. For the magnetization, the calculation gives 0.0000 μB per atom. As for the crystal system: tetragonal.

Lattice parameters (Å, degrees): 4.878 4.878 9.654 90.00 90.00 90.00
Space group I-42d (No. 122)
Unique sites:
Mg1 0.000 0.000 0.000 (multiplicity 4)
Sn1 0.000 0.000 0.500 (multiplicity 4)
N1 0.247 0.250 0.625 (multiplicity 8)

Here is a relaxed structure of MgSnN2 from Alexandria. Energies are from GGA-PBE.

For the uncorrected formation energy, the calculation gives 0.424 eV/atom. The calculation puts the total DFT energy (no corrections) at -5.1378 eV per atom. For the magnetization, the calculation gives 0.0000 μB per atom. As for the crystal system: trigonal.

Lattice parameters (Å, degrees): 3.5261 3.5261 17.6542 90.00 90.00 120.00
Space group R-3m (No. 166, hexagonal axes)
Unique sites:
Mg1 0.0000 0.0000 0.0000 (multiplicity 3)
Sn1 0.0000 0.0000 0.5000 (multiplicity 3)
N1 0.0000 0.0000 0.3912 (multiplicity 6)

Look up the uncorrected formation energy of the fourth one. 0.441 eV/atom

Look up the uncorrected formation energy of the second one. -0.045 eV/atom

Look up the total DFT energy (no corrections) of the fourth one. -4.8087 eV per atom